A geometry-optimized InAsPO2 structure, computed with GGA-PBE.

The structure belongs to space group P4/mmm (No. 123); the cell edges are 3.8387, 3.8387 and 4.9656 Å and the angles 90.00°, 90.00° and 90.00°. The inequivalent atoms are In at (0.0000, 0.0000, 0.0000), As at (0.5000, 0.5000, 0.5000), P at (0.5000, 0.5000, 0.0000) and O at (0.0000, 0.5000, 0.5000).

The value obtained for the energy above the lowest structure with this stoichiometry is 0 meV/atom. The uncorrected formation energy comes out at -0.378 eV/atom. Its density of states at the Fermi level is 0.386 states/eV per atom.